Entry 1:
Material: YIn2Cl
Method: DFT, SCAN
State: single point on PBEsol structure

Cell lengths 4.0004, 4.0004, 5.9519 Å; angles 90.00, 90.00, 90.00 degrees
Closest atoms and distances in Å follow each position.
Element x y z (fractional)
Y: 0.5000 0.5000 0.5000  4 Cl 2.83
Cl: 0.0000 0.0000 0.5000  4 Y 2.83
In: 0.0000 0.5000 0.0000  4 In 2.83
In: 0.5000 0.0000 0.0000  4 In 2.83

## Properties
ΔE to the lowest computed polymorph (meV/atom): 144.6
Mass density (g/cm3): 6.171
Symmetry: P4/mmm
E_form (uncorrected) (eV/atom): -0.708



Entry 2:
Material: CrHgGe2Pt
Method: DFT, SCAN
State: single point on PBEsol structure

Cell lengths 4.5885, 4.5885, 4.6411 Å; angles 90.00, 90.00, 90.00 degrees
Closest atoms and distances in Å follow each position.
Element x y z (fractional)
Cr: 0.0000 0.0000 0.0000  4 Ge 2.29, 2 Pt 2.32
Ge: 0.0000 0.5000 0.0000  2 Cr 2.29
Ge: 0.5000 0.0000 0.0000  2 Cr 2.29
Hg: 0.5000 0.5000 0.5000  4 Pt 3.24, 8 Ge 3.26
Pt: 0.0000 0.0000 0.5000  2 Cr 2.32

## Properties
Mass density (g/cm3): 10.076
Symmetry: P4/mmm
ΔE_f (meV per atom): 548



Entry 3:
Material: RuRh2W
Method: DFT, SCAN
State: single point on PBEsol structure

Cell lengths 2.7126, 4.3164, 4.7319 Å; angles 90.00, 90.00, 90.00 degrees
Closest atoms and distances in Å follow each position.
Element x y z (fractional)
Ru: 0.5000 0.0000 0.5436  2 W 2.66, 8 Rh 2.66-2.76, 2 Ru 2.71
Rh: 0.0000 0.0000 0.0361  4 Rh 2.67-2.71, 4 W 2.69, 4 Ru 2.70-2.76
Rh: 0.0000 0.5000 0.7046  4 Ru 2.66, 4 Rh 2.67-2.71, 4 W 2.68-2.77
W: 0.5000 0.5000 0.2157  2 Ru 2.66, 8 Rh 2.68-2.77, 2 W 2.71

## Properties
ΔE to the lowest computed polymorph (meV/atom): 34.1
Mass density (g/cm3): 14.708
Symmetry: Pmm2
ΔE_f (meV per atom): -166



Entry 4:
Material: ZnRhAu2
Method: DFT, SCAN
State: single point on PBEsol structure

Cell lengths 2.9447, 2.9447, 6.9538 Å; angles 90.00, 90.00, 90.00 degrees
Closest atoms and distances in Å follow each position.
Element x y z (fractional)
Rh: 0.0000 0.0000 0.5251  4 Zn 2.54, 4 Au 2.77
Zn: 0.5000 0.5000 0.7348  4 Rh 2.54, 4 Au 2.68
Au: 0.0000 0.0000 0.9781  4 Zn 2.68, 8 Au 2.87-2.94
Au: 0.5000 0.5000 0.2621  4 Rh 2.77, 8 Au 2.87-2.94

## Properties
Mass density (g/cm3): 15.483
Symmetry: P4mm
ΔE_f (meV per atom): -131



Entry 5:
Material: NaSiI2O
Method: DFT, SCAN
State: single point on PBEsol structure

Cell lengths 3.5786, 5.7080, 5.7080 Å; angles 90.00, 90.00, 90.00 degrees
Closest atoms and distances in Å follow each position.
Element x y z (fractional)
I: 0.0000 0.0000 0.5000  2 Si 2.85
I: 0.0000 0.5000 0.0000  2 Si 2.85
Na: 0.5000 0.5000 0.5000  8 I 3.37, 2 Na 3.58
Si: 0.0000 0.0000 0.0000  2 O 1.79
O: 0.5000 0.0000 0.0000  2 Si 1.79

## Properties
Mass density (g/cm3): 4.570
Symmetry: P4/mmm
E_form (uncorrected) (eV/atom): -0.867



Entry 6:
Material: CuSb
Method: DFT, SCAN
State: single point on PBEsol structure

Cell lengths 4.0206, 4.0206, 6.1099 Å; angles 70.79, 70.79, 60.00 degrees
Closest atoms and distances in Å follow each position.
Element x y z (fractional)
Sb: 0.0925 0.0925 0.7224  3 Cu 2.64
Sb: 0.9075 0.9075 0.2776  3 Cu 2.64
Cu: 0.3514 0.3514 0.9459  3 Cu 2.40, 3 Sb 2.64
Cu: 0.6486 0.6486 0.0541  3 Cu 2.40, 3 Sb 2.64

## Properties
Mass density (g/cm3): 7.778
Symmetry: R-3m
E_form (uncorrected) (eV/atom): 0.077



Entry 7:
Material: Tm9B5S21
Method: DFT, SCAN
State: single point on PBEsol structure

Cell lengths 10.8980, 10.8980, 10.8980 Å; angles 94.85, 94.85, 94.85 degrees
Closest atoms and distances in Å follow each position.
Element x y z (fractional)
Tm: 0.9238 0.5360 0.7583  7 S 2.62-2.83
Tm: 0.5496 0.1925 0.4230  6 S 2.60-2.79
Tm: 0.2306 0.8431 0.0791  6 S 2.61-2.91
Tm: 0.1925 0.4230 0.5496  6 S 2.60-2.79
Tm: 0.8431 0.0791 0.2306  6 S 2.61-2.91
Tm: 0.5360 0.7583 0.9238  7 S 2.62-2.83
Tm: 0.0791 0.2306 0.8431  6 S 2.61-2.91
Tm: 0.7583 0.9238 0.5360  7 S 2.62-2.83
Tm: 0.4230 0.5496 0.1925  6 S 2.60-2.79
Tm: 0.7230 0.0816 0.8646  6 S 2.59-2.79
Tm: 0.3703 0.7575 0.5225  6 S 2.63-2.83
Tm: 0.0606 0.4479 0.2059  7 S 2.62-2.80
Tm: 0.4479 0.2059 0.0606  7 S 2.62-2.80
Tm: 0.0816 0.8646 0.7230  6 S 2.59-2.79
Tm: 0.7575 0.5225 0.3703  6 S 2.63-2.83
Tm: 0.5225 0.3703 0.7575  6 S 2.63-2.83
Tm: 0.2059 0.0606 0.4479  7 S 2.62-2.80
Tm: 0.8646 0.7230 0.0816  6 S 2.59-2.79
B: 0.7610 0.4192 0.0771  4 S 1.93-1.96
B: 0.4192 0.0771 0.7610  4 S 1.93-1.96
B: 0.0771 0.7610 0.4192  4 S 1.93-1.96
B: 0.5808 0.9134 0.2635  4 S 1.93-1.94
B: 0.2635 0.5808 0.9134  4 S 1.93-1.94
B: 0.9134 0.2635 0.5808  4 S 1.93-1.94
B: 0.0251 0.0251 0.0251  3 S 1.83
B: 0.7026 0.7026 0.7026  3 S 1.82
B: 0.2024 0.2024 0.2024  3 S 1.82
B: 0.5248 0.5248 0.5248  3 S 1.83
S: 0.6812 0.5654 0.1339  1 B 1.96
S: 0.3431 0.2210 0.8246  1 B 1.94
S: 0.0060 0.9074 0.4804  1 B 1.93
S: 0.9074 0.4804 0.0060  1 B 1.93
S: 0.5654 0.1339 0.6812  1 B 1.96
S: 0.2210 0.8246 0.3431  1 B 1.94
S: 0.8246 0.3431 0.2210  1 B 1.94
S: 0.4804 0.0060 0.9074  1 B 1.93
S: 0.1339 0.6812 0.5654  1 B 1.96
S: 0.7428 0.8562 0.2933  1 B 1.93
S: 0.4243 0.5200 0.9438  1 B 1.94
S: 0.0765 0.2054 0.6023  1 B 1.94
S: 0.5200 0.9438 0.4243  1 B 1.94
S: 0.2054 0.6023 0.0765  1 B 1.94
S: 0.8562 0.2933 0.7428  1 B 1.93
S: 0.6023 0.0765 0.2054  1 B 1.94
S: 0.2933 0.7428 0.8562  1 B 1.93
S: 0.9438 0.4243 0.5200  1 B 1.94
S: 0.9655 0.6520 0.3038  1 B 1.93
S: 0.6520 0.3038 0.9655  1 B 1.93
S: 0.3038 0.9655 0.6520  1 B 1.93
S: 0.4674 0.7991 0.1549  1 B 1.93
S: 0.1549 0.4674 0.7991  1 B 1.93
S: 0.7991 0.1549 0.4674  1 B 1.93
S: 0.5246 0.3555 0.2583  3 Tm 2.60-2.64
S: 0.1559 0.0200 0.9313  1 B 1.83
S: 0.8244 0.6943 0.5983  1 B 1.82
S: 0.6943 0.5983 0.8244  1 B 1.82
S: 0.3555 0.2583 0.5246  3 Tm 2.60-2.64
S: 0.0200 0.9313 0.1559  1 B 1.83
S: 0.9313 0.1559 0.0200  1 B 1.83
S: 0.5983 0.8244 0.6943  1 B 1.82
S: 0.2583 0.5246 0.3555  3 Tm 2.60-2.64
S: 0.7387 0.8979 0.0049  3 Tm 2.59-2.63
S: 0.4146 0.5507 0.6394  1 B 1.83
S: 0.0841 0.2238 0.3090  1 B 1.82
S: 0.5507 0.6394 0.4146  1 B 1.83
S: 0.2238 0.3090 0.0841  1 B 1.82
S: 0.8979 0.0049 0.7387  3 Tm 2.59-2.63
S: 0.3090 0.0841 0.2238  1 B 1.82
S: 0.0049 0.7387 0.8979  3 Tm 2.59-2.63
S: 0.6394 0.4146 0.5507  1 B 1.83

## Properties
Mass density (g/cm3): 5.834
Symmetry: R3
E_form (uncorrected) (eV/atom): -1.659



Entry 8:
Material: LaBe2P
Method: DFT, SCAN
State: single point on PBEsol structure

Cell lengths 4.5647, 4.5647, 4.5647 Å; angles 60.00, 60.00, 60.00 degrees
Closest atoms and distances in Å follow each position.
Element x y z (fractional)
P: 0.7500 0.7500 0.7500  4 La 2.80, 4 Be 2.80
La: 0.5000 0.5000 0.5000  4 Be 2.80, 4 P 2.80
Be: 0.0000 0.0000 0.0000  4 P 2.80, 4 Be 2.80
Be: 0.2500 0.2500 0.2500  4 Be 2.80, 4 La 2.80

## Properties
Mass density (g/cm3): 4.640
Symmetry: F-43m
ΔE_f (meV per atom): 230



Entry 9:
Material: AuIN2
Method: DFT, SCAN
State: single point on PBEsol structure

Cell lengths 3.3901, 3.3901, 6.5386 Å; angles 74.98, 74.98, 60.00 degrees
Closest atoms and distances in Å follow each position.
Element x y z (fractional)
I: 0.0000 0.0000 0.0000  2 N 2.21
Au: 0.5000 0.5000 0.5000  6 N 2.16
N: 0.8820 0.8820 0.3541  3 Au 2.16, 1 I 2.21
N: 0.1180 0.1180 0.6459  3 Au 2.16, 1 I 2.21

## Properties
ΔE to the lowest computed polymorph (meV/atom): 0.0
Mass density (g/cm3): 9.410
Symmetry: R-3m
E_form (uncorrected) (eV/atom): 1.326



Entry 10:
Material: RbNi2Sb2
Method: DFT, SCAN
State: single point on PBEsol structure

Cell lengths 4.3136, 4.3136, 7.1354 Å; angles 107.59, 107.59, 90.00 degrees
Closest atoms and distances in Å follow each position.
Element x y z (fractional)
Sb: 0.3443 0.3443 0.6886  4 Ni 2.48
Sb: 0.6557 0.6557 0.3114  4 Ni 2.48
Rb: 0.0000 0.0000 0.0000  8 Sb 3.65, 8 Ni 3.88
Ni: 0.2500 0.7500 0.5000  4 Sb 2.48
Ni: 0.7500 0.2500 0.5000  4 Sb 2.48

## Properties
Mass density (g/cm3): 6.176
Symmetry: I4/mmm
E_form (uncorrected) (eV/atom): -0.249



Entry 11:
Material: ScCuP2
Method: DFT, SCAN
State: single point on PBEsol structure

Cell lengths 3.9648, 4.4331, 4.4331 Å; angles 73.27, 63.44, 63.44 degrees
Closest atoms and distances in Å follow each position.
Element x y z (fractional)
Cu: 0.5000 0.0000 0.0000  4 P 2.30
P: 0.1976 0.8024 0.8024  2 Cu 2.30, 1 P 2.34
P: 0.8024 0.1976 0.1976  2 Cu 2.30, 1 P 2.34
Sc: 0.0000 0.5000 0.5000  8 P 2.67-2.89, 2 Cu 2.95

## Properties
Mass density (g/cm3): 4.568
Symmetry: Immm
ΔE_f (meV per atom): -468



Entry 12:
Material: LiZrAg2
Method: DFT, SCAN
State: single point on PBEsol structure

Cell lengths 2.9398, 2.9398, 9.5695 Å; angles 81.16, 81.16, 60.00 degrees
Closest atoms and distances in Å follow each position.
Element x y z (fractional)
Ag: 0.2447 0.2447 0.2660  3 Li 2.78, 6 Ag 2.94, 3 Zr 3.03
Ag: 0.7553 0.7553 0.7340  3 Li 2.78, 6 Ag 2.94, 3 Zr 3.03
Li: 0.5000 0.5000 0.5000  6 Ag 2.78, 6 Li 2.94
Zr: 0.0000 0.0000 0.0000  6 Zr 2.94, 6 Ag 3.03

## Properties
Mass density (g/cm3): 7.395
Symmetry: R-3m
ΔE_f (meV per atom): -4